Material: Tb3Pm2Hg3
Method: DFT, PBE
State: relaxed

## Properties
As for the space-group type: Immm, No. 71. The calculation puts the density of states at the Fermi level at 1.051 states/eV/atom. The value obtained for the formation energy is -0.3524 eV/atom.

Unit cell a=3.7765 b=5.3420 c=11.6558 alpha=103.25 beta=99.32 gamma=90.00
Closest atoms and distances in Å follow each position.
Element x y z (fractional)
Tb 0.5000 0.0000 0.0000  8 Hg 3.19-3.27
Hg 0.0000 0.5000 0.0000  8 Tb 3.27
Pm 0.7312 0.2312 0.4625  2 Hg 3.21, 4 Pm 3.38
Tb 0.3809 0.3809 0.7617  6 Hg 3.27
Hg 0.8849 0.8849 0.7697  6 Tb 3.19-3.27, 2 Pm 3.21
Pm 0.2688 0.7688 0.5375  2 Hg 3.21, 4 Pm 3.38
Tb 0.6191 0.6191 0.2383  6 Hg 3.27
Hg 0.1151 0.1151 0.2303  6 Tb 3.19-3.27, 2 Pm 3.21